Entry 1:
Below is crystalline TlBi2Te2 at its relaxed geometry, with properties calculated at the PBE level.

```
data_TlBi2Te2
_chemical_formula_sum 'Tl2 Bi4 Te4'
_cell_length_a 9.165
_cell_length_b 9.165
_cell_length_c 4.068
_cell_angle_alpha 90.00
_cell_angle_beta 90.00
_cell_angle_gamma 90.00
_space_group_name_H-M_alt 'P 4/m b m'
_space_group_IT_number 127
_space_group_name_Hall '-P 4 2ab'
loop_
_atom_site_label
_atom_site_type_symbol
_atom_site_fract_x
_atom_site_fract_y
_atom_site_fract_z
Tl1 Tl 0.000 0.000 0.000
Bi1 Bi 0.178 0.322 0.500
Te1 Te 0.150 0.650 0.000
```

Computed properties:
As for the total moment: 0.00 μB per formula unit. The value obtained for the uncorrected formation energy is -0.012 eV/atom. As for the crystal system: tetragonal. The energy above the lowest structure with this stoichiometry comes out at 58 meV per atom.

***

Entry 2:
Below is crystalline LaCd6Ag12 at its relaxed geometry, with properties calculated at the PBE level.

```
data_LaCd6Ag12
_chemical_formula_sum 'La3 Cd18 Ag36'
_cell_length_a 12.1753
_cell_length_b 12.1753
_cell_length_c 9.6882
_cell_angle_alpha 90.00
_cell_angle_beta 90.00
_cell_angle_gamma 120.00
_space_group_name_H-M_alt 'R -3 m'
_space_group_IT_number 166
_space_group_name_Hall '-R 3 2"'
loop_
_atom_site_label
_atom_site_type_symbol
_atom_site_fract_x
_atom_site_fract_y
_atom_site_fract_z
La1 La 0.0000 0.0000 0.0000
Cd1 Cd 0.0637 0.5319 0.2394
Ag1 Ag 0.0000 0.3894 0.5000
Ag2 Ag 0.0824 0.1648 0.2767
```

Computed properties:
As for the total moment: 0.00 μB per formula unit. For the calculated formation energy, the calculation gives 37 meV per atom. As for the crystal system: trigonal.

***

| no. | total energy (eV per atom) |
| --- | --- |
| 1 | -3.29 |
| 2 | -2.31 |